(1)
This record from Alexandria via LeMat-Bulk describes crystalline CoNiRu2 at its relaxed geometry. The functional is PBE.

Cell lengths 3.684, 3.684, 7.344 Å; angles 90.00, 90.00, 90.00 degrees
Space group I4/mmm (No. 139)
One atom of each set of equivalent atoms:
Co  0.000  0.000  0.000 (multiplicity 2)
Ni  0.000  0.000  0.500 (multiplicity 2)
Ru  0.000  0.500  0.250 (multiplicity 4)

Size of the total moment ... 1.66 μB/f.u.
Electronic total energy ... -7.685 eV per atom
DOS(E_F) ... 1.3388 states/eV/atom
E_form ... 0.175 eV/atom


(2)
This record from Alexandria via LeMat-Bulk describes crystalline CoNiRu2 at its relaxed geometry. The functional is PBE.

Cell lengths 3.641, 3.641, 7.505 Å; angles 90.00, 90.00, 90.00 degrees
Space group I-4m2 (No. 119)
One atom of each set of equivalent atoms:
Co  0.000  0.000  0.000 (multiplicity 2)
Ni  0.000  0.500  0.250 (multiplicity 2)
Ru  0.000  0.000  0.500 (multiplicity 2)
Ru  0.000  0.500  0.750 (multiplicity 2)

Size of the total moment ... 1.56 μB/f.u.
Electronic total energy ... -7.738 eV per atom
DOS(E_F) ... 1.4016 states/eV/atom
E_form ... 0.122 eV/atom


(3)
This record from Alexandria via LeMat-Bulk describes crystalline CoNiRu3 at its relaxed geometry. The functional is PBE.

Cell lengths 4.353, 4.353, 4.353 Å; angles 90.00, 90.00, 90.00 degrees
Space group Pm-3m (No. 221)
One atom of each set of equivalent atoms:
Co  0.000  0.000  0.000 (multiplicity 1)
Ni  0.500  0.500  0.500 (multiplicity 1)
Ru  0.000  0.000  0.500 (multiplicity 3)

Size of the total moment ... 1.83 μB/f.u.
Electronic total energy ... -6.523 eV per atom
DOS(E_F) ... 1.5670 states/eV/atom
Relative energy among the computed polymorphs ... 0 meV/atom
E_form ... 1.620 eV/atom


(4)
This record from Alexandria via LeMat-Bulk describes crystalline CoNi2Ru at its relaxed geometry. The functional is PBE.

Cell lengths 8.486, 2.542, 4.427 Å; angles 90.00, 100.11, 90.00 degrees
Space group C2/m (No. 12)
One atom of each set of equivalent atoms:
Co  0.000  0.000  0.000 (multiplicity 2)
Ni  0.248  0.500  0.245 (multiplicity 4)
Ru  0.000  0.500  0.500 (multiplicity 2)

Size of the total moment ... 2.67 μB/f.u.
Electronic total energy ... -6.863 eV per atom
DOS(E_F) ... 1.5292 states/eV/atom
Relative energy among the computed polymorphs ... 14 meV/atom
E_form ... 0.123 eV/atom


(5)
This record from Alexandria via LeMat-Bulk describes crystalline CoNiRu2 at its relaxed geometry. The functional is PBE.

Cell lengths 2.592, 4.324, 4.645 Å; angles 90.00, 93.22, 90.00 degrees
Space group P2/m (No. 10)
One atom of each set of equivalent atoms:
Co  0.000  0.000  0.000 (multiplicity 1)
Ni  0.500  0.000  0.500 (multiplicity 1)
Ru  0.264  0.500  0.746 (multiplicity 2)

Size of the total moment ... 3.29 μB/f.u.
Electronic total energy ... -7.489 eV per atom
DOS(E_F) ... 1.6887 states/eV/atom
E_form ... 0.371 eV/atom


(6)
This record from Alexandria via LeMat-Bulk describes crystalline Co2NiRu at its relaxed geometry. The functional is PBE.

Cell lengths 4.466, 2.528, 4.471 Å; angles 90.00, 109.92, 90.00 degrees
Space group P2/m (No. 10)
One atom of each set of equivalent atoms:
Co  0.000  0.000  0.000 (multiplicity 1)
Co  0.500  0.500  0.000 (multiplicity 1)
Ni  0.000  0.500  0.500 (multiplicity 1)
Ru  0.500  0.000  0.500 (multiplicity 1)

Size of the total moment ... 4.28 μB/f.u.
Electronic total energy ... -7.185 eV per atom
DOS(E_F) ... 1.5564 states/eV/atom
E_form ... 0.132 eV/atom


(7)
This record from Alexandria via LeMat-Bulk describes crystalline CoNiRu2 at its relaxed geometry. The functional is PBE.

Cell lengths 5.908, 5.908, 5.908 Å; angles 90.00, 90.00, 90.00 degrees
Space group F-43m (No. 216)
One atom of each set of equivalent atoms:
Co  0.000  0.000  0.000 (multiplicity 4)
Ni  0.250  0.250  0.250 (multiplicity 4)
Ru  0.000  0.000  0.500 (multiplicity 4)
Ru  0.250  0.250  0.750 (multiplicity 4)

Size of the total moment ... 3.22 μB/f.u.
Electronic total energy ... -7.509 eV per atom
DOS(E_F) ... 1.4135 states/eV/atom
E_form ... 0.350 eV/atom


(8)
This record from Alexandria via LeMat-Bulk describes crystalline CoNi2Ru at its relaxed geometry. The functional is PBE.

Cell lengths 2.573, 3.564, 5.082 Å; angles 90.00, 90.00, 90.00 degrees
Space group Pmm2 (No. 25)
One atom of each set of equivalent atoms:
Co  0.000  0.000  0.000 (multiplicity 1)
Ni  0.000  0.000  0.491 (multiplicity 1)
Ni  0.500  0.500  0.250 (multiplicity 1)
Ru  0.500  0.500  0.753 (multiplicity 1)

Size of the total moment ... 1.63 μB/f.u.
Electronic total energy ... -6.876 eV per atom
DOS(E_F) ... 1.3690 states/eV/atom
Relative energy among the computed polymorphs ... 1 meV/atom
E_form ... 0.110 eV/atom


(9)
This record from Alexandria via LeMat-Bulk describes crystalline CoNi2Ru at its relaxed geometry. The functional is PBE.

Cell lengths 2.571, 2.571, 7.102 Å; angles 90.00, 90.00, 90.00 degrees
Space group P4mm (No. 99)
One atom of each set of equivalent atoms:
Co  0.000  0.000  0.000 (multiplicity 1)
Ni  0.000  0.000  0.481 (multiplicity 1)
Ni  0.500  0.500  0.237 (multiplicity 1)
Ru  0.500  0.500  0.742 (multiplicity 1)

Size of the total moment ... 2.39 μB/f.u.
Electronic total energy ... -6.876 eV per atom
DOS(E_F) ... 1.5881 states/eV/atom
Relative energy among the computed polymorphs ... 0 meV/atom
E_form ... 0.110 eV/atom


(10)
This record from Alexandria via LeMat-Bulk describes crystalline CoNiRu2 at its relaxed geometry. The functional is PBE.

Cell lengths 5.212, 5.212, 10.319 Å; angles 90.00, 90.00, 90.00 degrees
Space group I-42d (No. 122)
One atom of each set of equivalent atoms:
Co  0.000  0.000  0.000 (multiplicity 4)
Ni  0.000  0.000  0.500 (multiplicity 4)
Ru  0.241  0.250  0.125 (multiplicity 8)

Size of the total moment ... 0.00 μB/f.u.
Electronic total energy ... -6.586 eV per atom
DOS(E_F) ... 1.0754 states/eV/atom
E_form ... 1.274 eV/atom


(11)
This record from Alexandria via LeMat-Bulk describes crystalline CoNi2Ru2 at its relaxed geometry. The functional is PBE.

Cell lengths 6.910, 6.910, 2.693 Å; angles 90.00, 90.00, 90.00 degrees
Space group P4/mbm (No. 127)
One atom of each set of equivalent atoms:
Co  0.000  0.000  0.000 (multiplicity 2)
Ni  0.120  0.380  0.000 (multiplicity 4)
Ru  0.177  0.677  0.500 (multiplicity 4)

Size of the total moment ... 2.74 μB/f.u.
Electronic total energy ... -7.021 eV per atom
DOS(E_F) ... 1.8185 states/eV/atom
E_form ... 0.423 eV/atom


(12)
This record from Alexandria via LeMat-Bulk describes crystalline CoNi2Ru at its relaxed geometry. The functional is PBE.

Cell lengths 3.571, 3.571, 3.707 Å; angles 90.00, 90.00, 90.00 degrees
Space group P4/mmm (No. 123)
One atom of each set of equivalent atoms:
Co  0.000  0.000  0.000 (multiplicity 1)
Ni  0.000  0.500  0.500 (multiplicity 2)
Ru  0.500  0.500  0.000 (multiplicity 1)

Size of the total moment ... 3.81 μB/f.u.
Electronic total energy ... -6.844 eV per atom
DOS(E_F) ... 1.3535 states/eV/atom
Relative energy among the computed polymorphs ... 33 meV/atom
E_form ... 0.142 eV/atom